(1)
This record from Alexandria via LeMat-Bulk describes Tb4HoTm3S8 after structural relaxation. The functional is GGA-PBE.

**E**: -6.319 eV per atom
**Mass density**: 7795 kg/m³
**ΔE_f (raw)**: -1.97 eV per atom
**Spin magnetization**: 0.0 μB/cell

abc: 7.7648 7.7648 19.1426
angles: 90.00 90.00 120.00
Space group R-3m (No. 166, hexagonal axes)
Symmetry-distinct sites (fractional):
1 Tb 0.0000 0.0000 0.0000
2 Tb 0.0000 0.5000 0.0000
3 Ho 0.0000 0.0000 0.5000
4 Tm 0.0000 0.5000 0.5000
5 S 0.0000 0.0000 0.2470
6 S 0.0020 0.5010 0.7525

---

(2)
This record from Alexandria via LeMat-Bulk describes Tb3Ho4TmS8 after structural relaxation. The functional is GGA-PBE.

**E**: -6.333 eV per atom
**Mass density**: 7755 kg/m³
**ΔE_f (raw)**: -1.98 eV per atom
**Spin magnetization**: 0.0 μB/cell

abc: 7.7914 7.7914 19.0851
angles: 90.00 90.00 120.00
Space group R-3m (No. 166, hexagonal axes)
Symmetry-distinct sites (fractional):
1 Tb 0.0000 0.5000 0.0000
2 Ho 0.0000 0.0000 0.5000
3 Ho 0.0000 0.5000 0.5000
4 Tm 0.0000 0.0000 0.0000
5 S 0.0000 0.0000 0.2485
6 S 0.0040 0.5020 0.7505

---

(3)
This record from Alexandria via LeMat-Bulk describes TbHo4TmS8 after structural relaxation. The functional is GGA-PBE.

**E**: -6.244 eV per atom
**Mass density**: 5692 kg/m³
**ΔE_f (raw)**: -1.93 eV per atom
**Spin magnetization**: 0.0 μB/cell

abc: 8.0115 8.0115 19.5900
angles: 90.00 90.00 120.00
Space group R3m (No. 160, hexagonal axes)
Symmetry-distinct sites (fractional):
1 Tb 0.0000 0.0000 0.0000
2 Ho 0.0000 0.0000 0.2494
3 Ho 0.0005 0.5003 0.1248
4 Tm 0.0000 0.0000 0.6246
5 S 0.0000 0.0000 0.3818
6 S 0.0000 0.0000 0.8666
7 S 0.0244 0.5122 0.3767
8 S 0.1775 0.3551 0.2065

---

(4)
This record from Alexandria via LeMat-Bulk describes TbHoU2S4 after structural relaxation. The functional is GGA-PBE.

**E**: -7.705 eV per atom
**Mass density**: 9272 kg/m³
**ΔE_f (raw)**: -1.67 eV per atom
**Spin magnetization**: 5.2 μB/cell

abc: 6.634 3.822 6.917
angles: 90.00 108.58 90.00
Space group P2/m (No. 10)
Symmetry-distinct sites (fractional):
1 Tb 0.000 0.000 0.000
2 Ho 0.500 0.500 0.000
3 U 0.000 0.500 0.500
4 U 0.500 0.000 0.500
5 S 0.251 0.500 0.248
6 S 0.253 0.000 0.753

---

(5)
This record from Alexandria via LeMat-Bulk describes TbY2HoS6 after structural relaxation. The functional is GGA-PBE.

**E**: -6.753 eV per atom
**Mass density**: 4503 kg/m³
**ΔE_f (raw)**: -2.06 eV per atom
**Spin magnetization**: 0.0 μB/cell

abc: 6.9174 6.9174 18.5281
angles: 90.00 90.00 120.00
Space group R3 (No. 146, hexagonal axes)
Symmetry-distinct sites (fractional):
1 Tb 0.0000 0.0000 0.0000
2 Y 0.0000 0.0000 0.2982
3 Y 0.0000 0.0000 0.7988
4 Ho 0.0000 0.0000 0.4990
5 S 0.0008 0.2999 0.3993
6 S 0.0327 0.6690 0.5656

---

(6)
This record from Alexandria via LeMat-Bulk describes Tb2YHo3S6 after structural relaxation. The functional is GGA-PBE.

**E**: -6.512 eV per atom
**Mass density**: 7202 kg/m³
**ΔE_f (raw)**: -1.99 eV per atom
**Spin magnetization**: 0.0 μB/cell

abc: 6.742 11.730 6.765
angles: 90.00 109.46 90.00
Space group C2/m (No. 12)
Symmetry-distinct sites (fractional):
1 Tb 0.000 0.167 0.000
2 Y 0.000 0.500 0.000
3 Ho 0.000 0.000 0.500
4 Ho 0.000 0.333 0.500
5 S 0.248 0.500 0.746
6 S 0.249 0.166 0.746

---

(7)
This record from Alexandria via LeMat-Bulk describes TbY3Ho4S8 after structural relaxation. The functional is GGA-PBE.

**E**: -6.692 eV per atom
**Mass density**: 6622 kg/m³
**ΔE_f (raw)**: -1.98 eV per atom
**Spin magnetization**: 0.0 μB/cell

abc: 7.8053 7.8053 19.1342
angles: 90.00 90.00 120.00
Space group R-3m (No. 166, hexagonal axes)
Symmetry-distinct sites (fractional):
1 Tb 0.0000 0.0000 0.0000
2 Y 0.0000 0.5000 0.0000
3 Ho 0.0000 0.0000 0.5000
4 Ho 0.0000 0.5000 0.5000
5 S 0.0000 0.0000 0.2488
6 S 0.0004 0.5002 0.2487

---

(8)
This record from Alexandria via LeMat-Bulk describes Tb4Y3HoS8 after structural relaxation. The functional is GGA-PBE.

**E**: -6.715 eV per atom
**Mass density**: 6455 kg/m³
**ΔE_f (raw)**: -2.00 eV per atom
**Spin magnetization**: 0.0 μB/cell

abc: 7.8372 7.8372 19.2087
angles: 90.00 90.00 120.00
Space group R-3m (No. 166, hexagonal axes)
Symmetry-distinct sites (fractional):
1 Tb 0.0000 0.0000 0.0000
2 Tb 0.0000 0.5000 0.0000
3 Y 0.0000 0.5000 0.5000
4 Ho 0.0000 0.0000 0.5000
5 S 0.0000 0.0000 0.2497
6 S 0.0016 0.5008 0.2493

---

(9)
This record from Alexandria via LeMat-Bulk describes Tb2YHoS6 after structural relaxation. The functional is GGA-PBE.

**E**: -6.569 eV per atom
**Mass density**: 4946 kg/m³
**ΔE_f (raw)**: -2.06 eV per atom
**Spin magnetization**: 0.0 μB/cell

abc: 6.9249 6.9249 18.5307
angles: 90.00 90.00 120.00
Space group R3 (No. 146, hexagonal axes)
Symmetry-distinct sites (fractional):
1 Tb 0.0000 0.0000 0.0000
2 Tb 0.0000 0.0000 0.4996
3 Y 0.0000 0.0000 0.2015
4 Ho 0.0000 0.0000 0.7009
5 S 0.0344 0.3632 0.7679
6 S 0.0351 0.6691 0.2681

---

(10)
This record from Alexandria via LeMat-Bulk describes Tb3Y4HoS8 after structural relaxation. The functional is GGA-PBE.

**E**: -6.828 eV per atom
**Mass density**: 6118 kg/m³
**ΔE_f (raw)**: -1.99 eV per atom
**Spin magnetization**: 0.0 μB/cell

abc: 7.8367 7.8367 19.1966
angles: 90.00 90.00 120.00
Space group R-3m (No. 166, hexagonal axes)
Symmetry-distinct sites (fractional):
1 Tb 0.0000 0.5000 0.0000
2 Y 0.0000 0.0000 0.5000
3 Y 0.0000 0.5000 0.5000
4 Ho 0.0000 0.0000 0.0000
5 S 0.0000 0.0000 0.2497
6 S 0.0020 0.5010 0.7498

---

(11)
This record from Alexandria via LeMat-Bulk describes TbYHo2S4 after structural relaxation. The functional is GGA-PBE.

**E**: -6.582 eV per atom
**Mass density**: 6969 kg/m³
**ΔE_f (raw)**: -1.99 eV per atom
**Spin magnetization**: 0.0 μB/cell

abc: 6.775 3.871 6.787
angles: 90.00 109.10 90.00
Space group P2/m (No. 10)
Symmetry-distinct sites (fractional):
1 Tb 0.000 0.000 0.000
2 Y 0.500 0.500 0.000
3 Ho 0.000 0.500 0.500
4 Ho 0.500 0.000 0.500
5 S 0.249 0.000 0.746
6 S 0.252 0.500 0.254

---

(12)
This record from Alexandria via LeMat-Bulk describes Tb3Y3HoS8 after structural relaxation. The functional is GGA-PBE.

**E**: -6.783 eV per atom
**Mass density**: 5710 kg/m³
**ΔE_f (raw)**: -2.06 eV per atom
**Spin magnetization**: 0.0 μB/cell

abc: 7.8265 7.8265 19.1601
angles: 90.00 90.00 120.00
Space group R-3m (No. 166, hexagonal axes)
Symmetry-distinct sites (fractional):
1 Tb 0.0000 0.5000 0.0000
2 Y 0.0000 0.5000 0.5000
3 Ho 0.0000 0.0000 0.0000
4 S 0.0000 0.0000 0.2497
5 S 0.0016 0.5008 0.7499